A plane-wave DFT calculation with PBE was carried out for K2In5Sn3 after structural relaxation.

* total DFT energy (no corrections): -2.93 eV/atom
* crystal system: tetragonal
* magnetization: 0.00 μB per formula unit

Lattice parameters (Å, degrees): 5.1811 5.1811 12.0845 90.00 90.00 90.00
Closest atoms and distances in Å follow each position.
Space group P-4m2 (No. 115)
Inequivalent atoms, fractional coordinates:
K (0.0000, 0.5000, 0.2494) x2  10 In 3.94-3.99, 6 Sn 3.95-3.99
In (0.0000, 0.0000, 0.0000) x1  4 In 3.03
In (0.0000, 0.0000, 0.5000) x1  4 Sn 3.03
In (0.0000, 0.5000, 0.8705) x2  1 Sn 2.91, 4 In 3.03
In (0.5000, 0.5000, 0.0000) x1  4 In 3.03
Sn (0.0000, 0.5000, 0.6295) x2  3 In 2.91-3.03, 2 Sn 3.03
Sn (0.5000, 0.5000, 0.5000) x1  4 Sn 3.03